No. 1
5
Lattice="3.813 0.000 0.000 0.000 3.813 0.000 0.000 0.000 3.241" Properties=species:S:1:pos:R:3 comment="PBE-GGA Be2NiHAu, optimized geometry" mass_density_g_cm3=9.68 n_ef_per_ev_cell=2.6 energy_ev_per_atom=-4.08 pbc="T T T"
Ni 0.000 0.000 1.620
Au 1.907 1.907 1.620
H 0.000 0.000 0.000
Be 0.000 1.907 0.000
Be 1.907 0.000 0.000

No. 2
5
Lattice="3.156 0.000 0.000 0.000 5.408 0.000 0.000 0.000 3.156" Properties=species:S:1:pos:R:3 comment="PBE-GGA BeH2AuO, optimized geometry" mass_density_g_cm3=6.90 n_ef_per_ev_cell=0.4 energy_ev_per_atom=-3.56 pbc="T T T"
Be 0.000 2.704 0.000
Au 0.000 0.000 0.000
O 1.578 2.704 1.578
H 0.000 0.000 1.578
H 1.578 0.000 0.000

No. 3
5
Lattice="-4.905 1.508 -0.319 -0.672 -2.823 -3.014 -1.302 -3.482 3.551" Properties=species:S:1:pos:R:3 comment="PBE-GGA BeHPdAu2, optimized geometry" mass_density_g_cm3=7.66 n_ef_per_ev_cell=2.0 energy_ev_per_atom=-2.65 pbc="T T T"
Be -0.336 -1.411 -1.507
Au -0.651 -1.741 1.776
Au -2.452 0.754 -0.160
Pd 0.000 0.000 0.000
H -3.439 -2.398 0.109

No. 4
5
Lattice="-1.109 1.280 3.516 -3.226 -2.184 -0.223 1.854 -2.906 1.643" Properties=species:S:1:pos:R:3 comment="PBE-GGA BeHRh2Au, optimized geometry" mass_density_g_cm3=11.79 n_ef_per_ev_cell=4.5 energy_ev_per_atom=-5.00 pbc="T T T"
Rh -1.613 -1.092 -0.111
Rh -0.555 0.640 1.758
Au -1.241 -1.905 2.468
H 0.000 0.000 0.000
Be 0.927 -1.453 0.821

No. 5
5
Lattice="-3.541 -0.480 1.584 -1.240 -1.710 -3.289 0.944 -2.997 1.202" Properties=species:S:1:pos:R:3 comment="PBE-GGA Be2HRhAu, optimized geometry" mass_density_g_cm3=10.30 n_ef_per_ev_cell=1.3 energy_ev_per_atom=-4.46 pbc="T T T"
Rh 0.472 -1.498 0.601
Au -1.918 -2.593 -0.251
H 0.000 0.000 0.000
Be -0.620 -0.855 -1.644
Be -1.770 -0.240 0.792

No. 6
5
Lattice="-3.828 1.850 -0.781 -0.833 -0.466 2.980 1.646 3.854 1.062" Properties=species:S:1:pos:R:3 comment="PBE-GGA Be2HAuS, optimized geometry" mass_density_g_cm3=7.04 n_ef_per_ev_cell=1.6 energy_ev_per_atom=-3.36 pbc="T T T"
Be 0.823 1.927 0.531
Be -1.914 0.925 -0.390
S 0.000 0.000 0.000
Au -1.508 2.619 1.631
H -0.416 -0.233 1.490

No. 7
5
Lattice="-4.814 -1.867 2.041 -0.503 -1.442 -2.505 2.598 -4.459 2.047" Properties=species:S:1:pos:R:3 comment="PBE-GGA BeSb2HAu, optimized geometry" mass_density_g_cm3=8.27 n_ef_per_ev_cell=1.5 energy_ev_per_atom=-3.27 pbc="T T T"
Sb 1.299 -2.230 1.023
Sb -2.407 -0.934 1.021
Au -1.359 -3.885 0.792
H 0.000 0.000 0.000
Be -0.251 -0.721 -1.252

No. 8
5
Lattice="4.556 0.000 0.000 0.000 4.556 0.000 0.000 0.000 3.515" Properties=species:S:1:pos:R:3 comment="PBE-GGA Sc2BeHAu, optimized geometry" mass_density_g_cm3=6.76 n_ef_per_ev_cell=3.3 energy_ev_per_atom=-4.99 pbc="T T T"
Sc 0.000 2.278 0.000
Sc 2.278 0.000 0.000
Be 0.000 0.000 1.758
Au 2.278 2.278 1.758
H 0.000 0.000 0.000

No. 9
5
Lattice="-3.594 -0.442 0.874 -0.074 -4.633 -2.648 0.978 -1.796 3.114" Properties=species:S:1:pos:R:3 comment="PBE-GGA BeTeH2Au, optimized geometry" mass_density_g_cm3=7.53 n_ef_per_ev_cell=1.1 energy_ev_per_atom=-2.91 pbc="T T T"
Be -0.037 -2.316 -1.324
Te 0.000 0.000 0.000
Au -1.345 -3.435 0.670
H 0.489 -0.898 1.557
H -1.797 -0.221 0.437

No. 10
5
Lattice="3.900 0.000 0.000 0.000 3.900 0.000 0.000 0.000 4.043" Properties=species:S:1:pos:R:3 comment="PBE-GGA Ti2BeHAu, optimized geometry" mass_density_g_cm3=8.18 n_ef_per_ev_cell=4.1 energy_ev_per_atom=-5.47 pbc="T T T"
Be 0.000 0.000 2.022
Au 1.950 1.950 2.022
H 0.000 0.000 0.000
Ti 0.000 1.950 0.000
Ti 1.950 0.000 0.000

No. 11
5
Lattice="4.472 0.000 0.000 0.000 3.547 0.000 0.000 0.000 4.472" Properties=species:S:1:pos:R:3 comment="PBE-GGA Be2ZnHAu, optimized geometry" mass_density_g_cm3=6.59 n_ef_per_ev_cell=1.6 energy_ev_per_atom=-2.51 pbc="T T T"
Be 0.000 0.000 2.236
Be 2.236 0.000 0.000
Zn 2.236 1.773 2.236
Au 0.000 0.000 0.000
H 0.000 1.773 0.000

No. 12
5
Lattice="-1.504 1.931 -3.565 1.235 -3.403 -2.365 -3.557 -1.696 0.582" Properties=species:S:1:pos:R:3 comment="PBE-GGA Zr2BeHAu, optimized geometry" mass_density_g_cm3=8.68 n_ef_per_ev_cell=4.5 energy_ev_per_atom=-5.72 pbc="T T T"
Be -1.778 -0.848 0.291
Au -1.913 -1.584 -2.674
Zr 0.618 -1.702 -1.182
Zr -0.752 0.966 -1.782
H 0.000 0.000 0.000